# 1
The following is a DFT calculation (PBE) of an optimized crystal structure of Ba2NaMgH.

a = 5.909 Å, b = 5.909 Å, c = 4.837 Å
α = 90.00°, β = 90.00°, γ = 90.00°
Atoms (fractional coordinates):
Na 0.500 0.500 0.500
Ba 0.000 0.500 0.000
Ba 0.500 0.000 0.000
Mg 0.000 0.000 0.500
H 0.000 0.000 0.000

Output
The uncorrected energy comes out at -2.1066 eV/atom. The value obtained for the total magnetization is 0.00 μB/f.u. Its density is 3.18 g cm⁻³. The space group is P4/mmm, No. 123.

# 2
The following is a DFT calculation (PBE) of an optimized crystal structure of FeTcAu2.

a = 2.816 Å, b = 2.816 Å, c = 7.863 Å
α = 90.00°, β = 90.00°, γ = 90.07°
Atoms (fractional coordinates):
Au 0.000 0.000 0.987
Au 0.500 0.500 0.276
Fe 0.000 0.000 0.523
Tc 0.500 0.500 0.715

Output
The uncorrected energy comes out at -6.1707 eV/atom. Its energy of formation is 68 kJ/mol of formula units. The value obtained for the total magnetization is 1.75 μB/f.u. Its density is 14.59 g cm⁻³. The space group is P4mm, No. 99.

# 3
The following is a DFT calculation (PBE) of an optimized crystal structure of Na3HfCl.

a = 6.354 Å, b = 6.354 Å, c = 6.354 Å
α = 90.00°, β = 90.00°, γ = 90.00°
Atoms (fractional coordinates):
Na 0.000 0.000 0.500
Na 0.500 0.000 0.000
Na 0.000 0.500 0.000
Cl 0.500 0.500 0.500
Hf 0.000 0.000 0.000

Output
The energy relative to the elements, uncorrected is 928.3 meV per atom. The uncorrected energy comes out at -2.2231 eV/atom. The value obtained for the total magnetization is 4.00 μB/f.u. Its density is 1.83 g cm⁻³. The space group is Pm-3m, No. 221.

ΔE to the lowest computed polymorph readings, ordered: 51 0 607 meV/atom